Version A
VASP calculation (PBE) on a geometry-optimized Cs6Rb2Hg structure.

a b c (Å): 12.7323 9.2029 9.2029
angles (deg): 120.00 90.00 90.00
Sites, in units of the cell vectors:
Cs (0.1791, 0.3324, 0.0000)
Cs (0.8209, 0.6676, 0.0000)
Cs (0.1791, 0.6676, 0.6676)
Cs (0.8209, 0.3324, 0.3324)
Cs (0.8209, 0.0000, 0.6676)
Cs (0.1791, 0.0000, 0.3324)
Hg (0.0000, 0.0000, 0.0000)
Rb (0.5000, 0.3333, 0.6667)
Rb (0.5000, 0.6667, 0.3333)

Results
Volume, A^3/atom: 103.763
SG: No. 162

---

Version B
VASP calculation (PBE) on a geometry-optimized Cs6Rb2Hg structure.

a b c (Å): 5.5497 13.1706 13.1706
angles (deg): 120.00 90.00 90.00
Sites, in units of the cell vectors:
Cs (0.5000, 0.0000, 0.7725)
Cs (0.0000, 0.3815, 0.0000)
Cs (0.5000, 0.2275, 0.2275)
Cs (0.5000, 0.7725, 0.0000)
Cs (0.0000, 0.0000, 0.3815)
Cs (0.0000, 0.6185, 0.6185)
Rb (0.5000, 0.6667, 0.3333)
Rb (0.5000, 0.3333, 0.6667)
Hg (0.0000, 0.0000, 0.0000)

Results
Volume, A^3/atom: 92.633
SG: No. 189

---

Most stable one: version B, least stable one: version A.

---

Version A
VASP calculation (PBE) on a geometry-optimized CsRb3Hg2 structure.

a b c (Å): 5.2166 9.2933 9.2933
angles (deg): 120.00 90.00 90.00
Sites, in units of the cell vectors:
Hg (0.0000, 0.3333, 0.6667)
Hg (0.0000, 0.6667, 0.3333)
Rb (0.5000, 0.5000, 0.0000)
Rb (0.5000, 0.0000, 0.5000)
Rb (0.5000, 0.5000, 0.5000)
Cs (0.0000, 0.0000, 0.0000)

Results
Volume, A^3/atom: 65.029
SG: No. 191

---

Version B
VASP calculation (PBE) on a geometry-optimized CsRb3Hg2 structure.

a b c (Å): 5.2796 11.1726 13.4836
angles (deg): 75.57 78.71 76.33
Sites, in units of the cell vectors:
Cs (0.1572, 0.4265, 0.2591)
Cs (0.8428, 0.5735, 0.7409)
Hg (0.2331, 0.0751, 0.4587)
Hg (0.2323, 0.5764, 0.9590)
Hg (0.7669, 0.9249, 0.5413)
Hg (0.7677, 0.4236, 0.0410)
Rb (0.5846, 0.7740, 0.0567)
Rb (0.4154, 0.2260, 0.9433)
Rb (0.4147, 0.7363, 0.4344)
Rb (0.5853, 0.2637, 0.5656)
Rb (0.1589, 0.9287, 0.7536)
Rb (0.8411, 0.0713, 0.2464)

Results
Volume, A^3/atom: 61.707
SG: No. 12

---

Most stable one: version B, least stable one: version A.

---

Version A
VASP calculation (PBE) on a geometry-optimized Cs3RbHg structure.

a b c (Å): 9.1619 13.8491 12.5185
angles (deg): 90.00 90.00 90.00
Sites, in units of the cell vectors:
Cs (0.6360, 0.5374, 0.6817)
Cs (0.6360, 0.9626, 0.6817)
Cs (0.1360, 0.9626, 0.8183)
Cs (0.7723, 0.7500, 0.3870)
Cs (0.3640, 0.4626, 0.3183)
Cs (0.2277, 0.2500, 0.6130)
Cs (0.1360, 0.5374, 0.8183)
Cs (0.7277, 0.2500, 0.8870)
Cs (0.2723, 0.7500, 0.1130)
Cs (0.8640, 0.4626, 0.1817)
Cs (0.8640, 0.0374, 0.1817)
Cs (0.3640, 0.0374, 0.3183)
Rb (0.7842, 0.2500, 0.4715)
Rb (0.7158, 0.7500, 0.9715)
Rb (0.2158, 0.7500, 0.5285)
Rb (0.2842, 0.2500, 0.0285)
Hg (0.0000, 0.0000, 0.5000)
Hg (0.0000, 0.5000, 0.5000)
Hg (0.5000, 0.5000, 0.0000)
Hg (0.5000, 0.0000, 0.0000)

Results
Volume, A^3/atom: 79.420
SG: No. 62

---

Version B
VASP calculation (PBE) on a geometry-optimized Cs3RbHg structure.

a b c (Å): 9.7855 9.5239 8.8495
angles (deg): 90.00 89.49 90.00
Sites, in units of the cell vectors:
Cs (0.7500, 0.0014, 0.9214)
Cs (0.2500, 0.5014, 0.0786)
Cs (0.1167, 0.2500, 0.5958)
Cs (0.2500, 0.9986, 0.0786)
Cs (0.7500, 0.4986, 0.9214)
Cs (0.8833, 0.7500, 0.4042)
Rb (0.6157, 0.2500, 0.4221)
Rb (0.3843, 0.7500, 0.5779)
Hg (0.0506, 0.7500, 0.7996)
Hg (0.9494, 0.2500, 0.2004)

Results
Volume, A^3/atom: 82.471
SG: No. 11

---

Version C
VASP calculation (PBE) on a geometry-optimized Cs3RbHg structure.

a b c (Å): 9.5977 9.5977 9.5977
angles (deg): 64.90 64.90 64.90
Sites, in units of the cell vectors:
Cs (0.1117, 0.6171, 0.6171)
Cs (0.6171, 0.1117, 0.6171)
Cs (0.6171, 0.6171, 0.1117)
Hg (0.9147, 0.9147, 0.9147)
Rb (0.6144, 0.6144, 0.6144)

Results
Volume, A^3/atom: 138.411
SG: No. 160

---

Version D
VASP calculation (PBE) on a geometry-optimized Cs3RbHg structure.

a b c (Å): 6.1905 6.1905 12.9754
angles (deg): 90.00 90.00 90.00
Sites, in units of the cell vectors:
Cs (0.0000, 0.5000, 0.2811)
Cs (0.5000, 0.0000, 0.2811)
Cs (0.0000, 0.0000, 0.6235)
Rb (0.0000, 0.0000, 0.9882)
Hg (0.5000, 0.5000, 0.0898)

Results
Volume, A^3/atom: 99.450
SG: No. 99

---

Most stable one: version B, least stable one: version C.

---

Version A
VASP calculation (PBE) on a geometry-optimized Cs3RbHg structure.

a b c (Å): 5.7234 16.8071 16.8071
angles (deg): 90.00 90.00 90.00
Sites, in units of the cell vectors:
Rb (0.0000, 0.1911, 0.8089)
Rb (0.5000, 0.3089, 0.3089)
Rb (0.0000, 0.8089, 0.1911)
Rb (0.5000, 0.6911, 0.6911)
Cs (0.0000, 0.9016, 0.9016)
Cs (0.5000, 0.9998, 0.6831)
Cs (0.5000, 0.0002, 0.3169)
Cs (0.5000, 0.4016, 0.5984)
Cs (0.5000, 0.6831, 0.9998)
Cs (0.0000, 0.8169, 0.4998)
Cs (0.0000, 0.1831, 0.5002)
Cs (0.0000, 0.4998, 0.8169)
Cs (0.5000, 0.5984, 0.4016)
Cs (0.5000, 0.3169, 0.0002)
Cs (0.0000, 0.0984, 0.0984)
Cs (0.0000, 0.5002, 0.1831)
Hg (0.5000, 0.9310, 0.0690)
Hg (0.0000, 0.5690, 0.5690)
Hg (0.0000, 0.4310, 0.4310)
Hg (0.5000, 0.0690, 0.9310)

Results
Volume, A^3/atom: 80.837
SG: No. 136

---

Version B
VASP calculation (PBE) on a geometry-optimized Cs3RbHg structure.

a b c (Å): 5.3886 11.9102 13.3734
angles (deg): 92.81 89.82 103.11
Sites, in units of the cell vectors:
Cs (0.9660, 0.9656, 0.9576)
Cs (0.4111, 0.8520, 0.6519)
Cs (0.2766, 0.5919, 0.9691)
Cs (0.7670, 0.5626, 0.4524)
Cs (0.6325, 0.3018, 0.7700)
Cs (0.0781, 0.1885, 0.4639)
Rb (0.6237, 0.2839, 0.1497)
Rb (0.4218, 0.8703, 0.2718)
Hg (0.2402, 0.5141, 0.6676)
Hg (0.8031, 0.6396, 0.7537)

Results
Volume, A^3/atom: 83.490
SG: No. 1

---

Version C
VASP calculation (PBE) on a geometry-optimized Cs3RbHg structure.

a b c (Å): 8.5010 8.5010 14.2886
angles (deg): 72.69 72.69 90.00
Sites, in units of the cell vectors:
Cs (0.7046, 0.7046, 0.5907)
Cs (0.2954, 0.2954, 0.4093)
Cs (0.1225, 0.3733, 0.7550)
Cs (0.1225, 0.8717, 0.7550)
Cs (0.6267, 0.8775, 0.2450)
Cs (0.1283, 0.8775, 0.2450)
Hg (0.2500, 0.7500, 0.5000)
Hg (0.0000, 0.0000, 0.0000)
Rb (0.5466, 0.0466, 0.9067)
Rb (0.9534, 0.4534, 0.0933)

Results
Volume, A^3/atom: 93.677
SG: No. 119

---

Most stable one: version B, least stable one: version C.

---

Version A
VASP calculation (PBE) on a geometry-optimized Cs3RbHg structure.

a b c (Å): 9.9194 9.9194 9.9194
angles (deg): 70.45 70.45 70.45
Sites, in units of the cell vectors:
Cs (0.5912, 0.0872, 0.4631)
Cs (0.5872, 0.0912, 0.9631)
Cs (0.4631, 0.5912, 0.0872)
Cs (0.0912, 0.9631, 0.5872)
Cs (0.9631, 0.5872, 0.0912)
Cs (0.0872, 0.4631, 0.5912)
Rb (0.0798, 0.0798, 0.0798)
Rb (0.5798, 0.5798, 0.5798)
Hg (0.2603, 0.2603, 0.2603)
Hg (0.7603, 0.7603, 0.7603)

Results
Volume, A^3/atom: 83.908
SG: No. 161

---

Version B
VASP calculation (PBE) on a geometry-optimized Cs3RbHg structure.

a b c (Å): 8.3366 8.3366 8.3366
angles (deg): 110.92 110.92 110.92
Sites, in units of the cell vectors:
Cs (0.2734, 0.7744, 0.7744)
Cs (0.7744, 0.2734, 0.7744)
Cs (0.7744, 0.7744, 0.2734)
Hg (0.7762, 0.7762, 0.7762)
Rb (0.2766, 0.2766, 0.2766)

Results
Volume, A^3/atom: 84.083
SG: No. 160

---

Version C
VASP calculation (PBE) on a geometry-optimized Cs3RbHg structure.

a b c (Å): 22.3508 13.6547 13.6547
angles (deg): 99.15 133.84 46.16
Sites, in units of the cell vectors:
Cs (0.0253, 0.9120, 0.8323)
Cs (0.4344, 0.5129, 0.7462)
Cs (0.9277, 0.8580, 0.3841)
Cs (0.0656, 0.2462, 0.0129)
Cs (0.4747, 0.3323, 0.4120)
Cs (0.4277, 0.1159, 0.6420)
Cs (0.5656, 0.4871, 0.2538)
Cs (0.5253, 0.6677, 0.5880)
Cs (0.0723, 0.1420, 0.6159)
Cs (0.5723, 0.8841, 0.3580)
Cs (0.9747, 0.0880, 0.1677)
Cs (0.9344, 0.7538, 0.9871)
Rb (0.4297, 0.2732, 0.9852)
Rb (0.0703, 0.4852, 0.7732)
Rb (0.9297, 0.5148, 0.2268)
Rb (0.5703, 0.7268, 0.0148)
Hg (0.7500, 0.7949, 0.2949)
Hg (0.2500, 0.0302, 0.5302)
Hg (0.7500, 0.9698, 0.4698)
Hg (0.2500, 0.2051, 0.7051)

Results
Volume, A^3/atom: 85.354
SG: No. 15

---

Most stable one: version C, least stable one: version B.

---

Version A
VASP calculation (PBE) on a geometry-optimized Cs3RbHg structure.

a b c (Å): 7.6031 7.6031 7.6031
angles (deg): 90.00 90.00 90.00
Sites, in units of the cell vectors:
Cs (0.5000, 0.0000, 0.0000)
Cs (0.0000, 0.5000, 0.0000)
Cs (0.0000, 0.0000, 0.5000)
Rb (0.5000, 0.5000, 0.5000)
Hg (0.0000, 0.0000, 0.0000)

Results
Volume, A^3/atom: 87.903
SG: No. 221

---

Version B
VASP calculation (PBE) on a geometry-optimized Cs3RbHg structure.

a b c (Å): 7.7127 7.7127 15.6793
angles (deg): 90.00 90.00 120.00
Sites, in units of the cell vectors:
Cs (0.3333, 0.6667, 0.0653)
Cs (0.0000, 0.0000, 0.7500)
Cs (0.6667, 0.3333, 0.9347)
Cs (0.3333, 0.6667, 0.4347)
Cs (0.6667, 0.3333, 0.5653)
Cs (0.0000, 0.0000, 0.2500)
Hg (0.0000, 0.0000, 0.5000)
Hg (0.0000, 0.0000, 0.0000)
Rb (0.3333, 0.6667, 0.7500)
Rb (0.6667, 0.3333, 0.2500)

Results
Volume, A^3/atom: 80.773
SG: No. 194

---

Version C
VASP calculation (PBE) on a geometry-optimized Cs3RbHg structure.

a b c (Å): 6.5081 6.5081 24.3510
angles (deg): 90.00 90.00 120.00
Sites, in units of the cell vectors:
Cs (0.6667, 0.3333, 0.6326)
Cs (0.3333, 0.6667, 0.3674)
Cs (0.3333, 0.6667, 0.1326)
Cs (0.0000, 0.0000, 0.7500)
Cs (0.6667, 0.3333, 0.8674)
Cs (0.0000, 0.0000, 0.2500)
Rb (0.0000, 0.0000, 0.0000)
Rb (0.0000, 0.0000, 0.5000)
Hg (0.3333, 0.6667, 0.7500)
Hg (0.6667, 0.3333, 0.2500)

Results
Volume, A^3/atom: 89.321
SG: No. 194

---

Most stable one: version A, least stable one: version C.

---

Version A
VASP calculation (PBE) on a geometry-optimized CsRb2Hg2 structure.

a b c (Å): 5.3634 7.3768 7.7656
angles (deg): 101.94 110.20 90.00
Sites, in units of the cell vectors:
Rb (0.6521, 0.5792, 0.3041)
Rb (0.3479, 0.4208, 0.6959)
Hg (0.7254, 0.0925, 0.4508)
Hg (0.2746, 0.9075, 0.5492)
Cs (0.0000, 0.0000, 0.0000)

Results
Volume, A^3/atom: 56.250
SG: No. 12

---

Version B
VASP calculation (PBE) on a geometry-optimized CsRb2Hg2 structure.

a b c (Å): 5.5446 9.2043 11.5589
angles (deg): 90.00 90.00 107.53
Sites, in units of the cell vectors:
Hg (0.9368, 0.8736, 0.0366)
Hg (0.2163, 0.4326, 0.6712)
Hg (0.0632, 0.1264, 0.5366)
Hg (0.7837, 0.5674, 0.1712)
Rb (0.1194, 0.2389, 0.1966)
Rb (0.6927, 0.3855, 0.4618)
Rb (0.3073, 0.6145, 0.9618)
Rb (0.8806, 0.7611, 0.6966)
Cs (0.4160, 0.8320, 0.3382)
Cs (0.5840, 0.1680, 0.8382)

Results
Volume, A^3/atom: 56.251
SG: No. 36

---

Version C
VASP calculation (PBE) on a geometry-optimized CsRb2Hg2 structure.

a b c (Å): 5.9613 5.9613 8.7938
angles (deg): 70.19 70.19 90.00
Sites, in units of the cell vectors:
Rb (0.7500, 0.2500, 0.5000)
Rb (0.2500, 0.7500, 0.5000)
Cs (0.0000, 0.0000, 0.0000)
Hg (0.5972, 0.5972, 0.8056)
Hg (0.4028, 0.4028, 0.1944)

Results
Volume, A^3/atom: 54.853
SG: No. 139

---

Version D
VASP calculation (PBE) on a geometry-optimized CsRb2Hg2 structure.

a b c (Å): 10.9741 10.9741 4.3413
angles (deg): 90.00 90.00 90.00
Sites, in units of the cell vectors:
Rb (0.1302, 0.3698, 0.0000)
Rb (0.3698, 0.8698, 0.0000)
Rb (0.6302, 0.1302, 0.0000)
Rb (0.8698, 0.6302, 0.0000)
Hg (0.1655, 0.6655, 0.5000)
Hg (0.6655, 0.8345, 0.5000)
Hg (0.8345, 0.3345, 0.5000)
Hg (0.3345, 0.1655, 0.5000)
Cs (0.5000, 0.5000, 0.0000)
Cs (0.0000, 0.0000, 0.0000)

Results
Volume, A^3/atom: 52.283
SG: No. 127

---

Most stable one: version A, least stable one: version D.

---

Version A
VASP calculation (PBE) on a geometry-optimized CsRb2Hg2 structure.

a b c (Å): 9.8536 9.8536 5.5076
angles (deg): 90.00 90.00 90.00
Sites, in units of the cell vectors:
Hg (0.6109, 0.1109, 0.0000)
Hg (0.1109, 0.3891, 0.0000)
Hg (0.3891, 0.8891, 0.0000)
Hg (0.8891, 0.6109, 0.0000)
Cs (0.5000, 0.5000, 0.0000)
Cs (0.0000, 0.0000, 0.0000)
Rb (0.8346, 0.3346, 0.5000)
Rb (0.3346, 0.1654, 0.5000)
Rb (0.1654, 0.6654, 0.5000)
Rb (0.6654, 0.8346, 0.5000)

Results
Volume, A^3/atom: 53.476
SG: No. 127

---

Version B
VASP calculation (PBE) on a geometry-optimized CsRb2Hg2 structure.

a b c (Å): 6.6541 6.6541 8.3941
angles (deg): 66.65 66.65 90.00
Sites, in units of the cell vectors:
Rb (0.3491, 0.3491, 0.3018)
Rb (0.6509, 0.6509, 0.6982)
Hg (0.7500, 0.2500, 0.5000)
Hg (0.2500, 0.7500, 0.5000)
Cs (0.0000, 0.0000, 0.0000)

Results
Volume, A^3/atom: 61.557
SG: No. 139

---

Most stable one: version A, least stable one: version B.